Record 1
Below is crystalline K4Rb3P at its relaxed geometry, with properties calculated at the PBE level.

## Properties
The total energy comes out at -25.975 eV per cell.

Unit cell a=7.5845 b=15.0378 c=9.1612 alpha=90.00 beta=90.00 gamma=90.00
Last column: nearest neighbours and their distance in Å.
Space group Pmmn (No. 59, origin choice 2)
Inequivalent atoms, fractional coordinates:
K (0.0040, 0.2500, 0.0181) x4  1 P 3.23
K (0.2500, 0.1190, 0.5883) x4  1 P 3.25
Rb (0.2500, 0.0287, 0.1829) x4  1 P 3.51
Rb (0.2500, 0.7500, 0.5682) x2  2 P 3.96, 2 K 4.25
P (0.2500, 0.2500, 0.3065) x2  4 K 3.23-3.25, 2 Rb 3.51

=====

Record 2
Below is crystalline LaCr2Cd at its relaxed geometry, with properties calculated at the PBE level.

## Properties
The total energy comes out at -22.887 eV per cell.

Unit cell a=4.7779 b=4.7779 c=3.7497 alpha=90.00 beta=90.00 gamma=90.00
Last column: nearest neighbours and their distance in Å.
Space group P4/mmm (No. 123)
Inequivalent atoms, fractional coordinates:
La (0.0000, 0.0000, 0.0000) x1  8 Cr 3.04, 4 Cd 3.38
Cr (0.0000, 0.5000, 0.5000) x2  4 La 3.04, 4 Cd 3.04, 4 Cr 3.38
Cd (0.5000, 0.5000, 0.0000) x1  8 Cr 3.04, 4 La 3.38

=====

Record 3
Below is crystalline Li3P2Pd5 at its relaxed geometry, with properties calculated at the PBE level.

## Properties
The total energy comes out at -184.586 eV per cell.

Unit cell a=10.8592 b=11.0589 c=5.6016 alpha=90.00 beta=90.00 gamma=90.00
Last column: nearest neighbours and their distance in Å.
Space group Ibam (No. 72)
Inequivalent atoms, fractional coordinates:
Li (0.0000, 0.0000, 0.2500) x4  4 P 2.53, 2 Pd 2.69, 2 Li 2.80
Li (0.1295, 0.2698, 0.0000) x8  1 P 2.72, 4 Pd 2.77-2.92
P (0.1432, 0.1279, 0.5000) x8  3 Pd 2.19-2.29
Pd (0.0000, 0.5000, 0.2500) x4  8 Pd 2.72-2.80
Pd (0.1192, 0.3245, 0.5000) x8  1 P 2.19
Pd (0.2479, 0.0000, 0.2500) x8  2 P 2.29

=====

Record 4
Below is crystalline NdHo4Ru5 at its relaxed geometry, with properties calculated at the PBE level.

## Properties
The total energy comes out at -72.361 eV per cell.

Unit cell a=3.4105 b=3.4105 c=17.0245 alpha=90.00 beta=90.00 gamma=90.00
Last column: nearest neighbours and their distance in Å.
Space group P4/mmm (No. 123)
Inequivalent atoms, fractional coordinates:
Nd (0.0000, 0.0000, 0.0000) x1  8 Ru 3.00
Ho (0.0000, 0.0000, 0.2041) x2  8 Ru 2.94
Ho (0.0000, 0.0000, 0.4013) x2  8 Ru 2.94
Ru (0.5000, 0.5000, 0.1051) x2  4 Ho 2.94, 4 Nd 3.00
Ru (0.5000, 0.5000, 0.3028) x2  8 Ho 2.94
Ru (0.5000, 0.5000, 0.5000) x1  8 Ho 2.94